(1)
Material: TmTlCr2O8
Method: DFT, PBE+U
State: relaxed

Cell lengths 5.7617, 5.7617, 7.7877 Å; angles 90.00, 90.00, 120.00 degrees
Space group P-3m1 (No. 164)
Asymmetric unit:
Tm (0.0000, 0.0000, 0.0000) x1
Tl (0.0000, 0.0000, 0.5000) x1
Cr (0.3333, 0.6667, 0.7548) x2
O (0.1742, 0.3484, 0.8249) x6
O (0.3333, 0.6667, 0.5465) x2

---

(2)
Material: Li2MnOF3
Method: DFT, PBE+U
State: relaxed

Output
excess energy over the best structure of this formula in the dataset	0.000	eV/atom

Cell lengths 10.202, 6.034, 5.955 Å; angles 90.00, 124.25, 90.00 degrees
Space group C2/m (No. 12)
Asymmetric unit:
Li (0.000, 0.000, 0.000) x2
Li (0.000, 0.000, 0.500) x2
Li (0.124, 0.500, 0.407) x4
Mn (0.250, 0.250, 0.000) x4
O (0.245, 0.000, 0.188) x4
F (0.014, 0.238, 0.759) x8
F (0.242, 0.000, 0.730) x4

---

Asked for theoretical density across the records above, the calculation gives 4.489, 3.109 g/cm3 in order.
Asked for raw total energy across the records above, the calculation gives -6.87, -5.64 eV per atom in order.